Entry 1:
The following is a GGA-PBE calculation of a geometry-optimized Nd2Ho3Er5 structure, from Alexandria.

abc: 6.7430 12.2681 12.2681
angles: 44.80 74.05 74.05
Closest atoms and distances in Å follow each position.
Element x y z (fractional)
1 Nd 0.1256 0.7717 0.9772  1 Er 2.90
2 Nd 0.8744 0.2283 0.0228  1 Er 2.90
3 Nd 0.6256 0.9772 0.7717  1 Er 2.90
4 Nd 0.3744 0.0228 0.2283  1 Er 2.90
5 Ho 0.2500 0.0000 0.0000  4 Nd 3.34, 2 Ho 3.37
6 Ho 0.7500 0.0000 0.0000  4 Nd 3.34, 2 Ho 3.37
7 Ho 0.3740 0.3769 0.8750  1 Er 3.14, 1 Nd 3.31
8 Ho 0.6260 0.6231 0.1250  1 Er 3.14, 1 Nd 3.31
9 Ho 0.8740 0.8750 0.3769  1 Er 3.14, 1 Nd 3.31
10 Ho 0.1260 0.1250 0.6231  1 Er 3.14, 1 Nd 3.31
11 Er 0.2500 0.5000 0.5000  6 Er 3.28-3.37
12 Er 0.7500 0.5000 0.5000  6 Er 3.28-3.37
13 Er 0.5019 0.7481 0.7481  4 Er 3.27-3.37, 2 Nd 3.35
14 Er 0.9981 0.2519 0.2519  4 Er 3.27-3.37, 2 Nd 3.35
15 Er 0.4981 0.2519 0.2519  4 Er 3.27-3.37, 2 Nd 3.35
16 Er 0.0019 0.7481 0.7481  4 Er 3.27-3.37, 2 Nd 3.35
17 Er 0.1244 0.4627 0.2885  1 Nd 2.90, 1 Ho 3.14
18 Er 0.8756 0.5373 0.7115  1 Nd 2.90, 1 Ho 3.14
19 Er 0.6244 0.2885 0.4627  1 Nd 2.90, 1 Ho 3.14
20 Er 0.3756 0.7115 0.5373  1 Nd 2.90, 1 Ho 3.14


Entry 2:
The following is a GGA-PBE calculation of a geometry-optimized Nd12Ho5Er2 structure, from Alexandria.

abc: 10.6281 9.2712 8.0810
angles: 86.80 90.00 124.97
Closest atoms and distances in Å follow each position.
Element x y z (fractional)
1 Nd 0.8693 0.7386 0.1053  2 Ho 3.41-3.72, 2 Er 3.56, 4 Nd 3.62-3.71
2 Nd 0.0402 0.6305 0.7923  1 Er 3.40, 4 Nd 3.46-3.62, 2 Ho 3.48-3.58
3 Nd 0.5902 0.6305 0.7923  1 Er 3.40, 4 Nd 3.46-3.62, 2 Ho 3.48-3.58
4 Nd 0.1661 0.7869 0.3851  1 Er 3.41, 4 Ho 3.45-3.61, 5 Nd 3.46-3.71
5 Nd 0.6208 0.7869 0.3851  1 Er 3.41, 4 Ho 3.45-3.61, 5 Nd 3.46-3.71
6 Nd 0.4451 0.8901 0.7122  3 Ho 3.37-3.66, 7 Nd 3.50-3.71, 2 Er 3.51
7 Nd 0.5549 0.1099 0.2878  3 Ho 3.37-3.66, 7 Nd 3.50-3.71, 2 Er 3.51
8 Nd 0.8339 0.2131 0.6149  1 Er 3.41, 4 Ho 3.45-3.61, 5 Nd 3.46-3.71
9 Nd 0.3792 0.2131 0.6149  1 Er 3.41, 4 Ho 3.45-3.61, 5 Nd 3.46-3.71
10 Nd 0.9598 0.3695 0.2077  1 Er 3.40, 4 Nd 3.46-3.62, 2 Ho 3.48-3.58
11 Nd 0.4098 0.3695 0.2077  1 Er 3.40, 4 Nd 3.46-3.62, 2 Ho 3.48-3.58
12 Nd 0.1307 0.2614 0.8947  2 Ho 3.41-3.72, 2 Er 3.56, 4 Nd 3.62-3.71
13 Ho 0.2414 0.4829 0.5129  8 Nd 3.41-3.61, 2 Ho 3.61-3.68
14 Ho 0.3438 0.6875 0.0958  7 Nd 3.37-3.72, 2 Er 3.46, 1 Ho 3.61
15 Ho 0.0000 0.0000 0.5000  6 Nd 3.48-3.87, 2 Ho 3.68
16 Ho 0.6562 0.3125 0.9042  7 Nd 3.37-3.72, 2 Er 3.46, 1 Ho 3.61
17 Ho 0.7586 0.5171 0.4871  8 Nd 3.41-3.61, 2 Ho 3.61-3.68
18 Er 0.7297 0.0000 0.0000  8 Nd 3.40-3.56, 2 Ho 3.46
19 Er 0.2703 0.0000 0.0000  8 Nd 3.40-3.56, 2 Ho 3.46


Entry 3:
The following is a GGA-PBE calculation of a geometry-optimized Nd2HoEr structure, from Alexandria.

abc: 5.7738 7.2819 7.2819
angles: 119.45 90.00 90.00
Closest atoms and distances in Å follow each position.
Element x y z (fractional)
1 Nd 0.7500 0.5844 0.9154  4 Ho 3.58-3.66, 4 Er 3.58-3.66, 4 Nd 3.58-3.67
2 Nd 0.7500 0.0846 0.4156  4 Ho 3.58-3.66, 4 Er 3.58-3.66, 4 Nd 3.58-3.67
3 Nd 0.2500 0.4156 0.0846  4 Ho 3.58-3.66, 4 Er 3.58-3.66, 4 Nd 3.58-3.67
4 Nd 0.2500 0.9154 0.5844  4 Ho 3.58-3.66, 4 Er 3.58-3.66, 4 Nd 3.58-3.67
5 Ho 0.2500 0.4173 0.5827  2 Ho 3.56, 8 Nd 3.58-3.66, 2 Er 3.67
6 Ho 0.7500 0.5827 0.4173  2 Ho 3.56, 8 Nd 3.58-3.66, 2 Er 3.67
7 Er 0.2500 0.9172 0.0828  2 Er 3.56, 8 Nd 3.58-3.66, 2 Ho 3.67
8 Er 0.7500 0.0828 0.9172  2 Er 3.56, 8 Nd 3.58-3.66, 2 Ho 3.67


Entry 4:
The following is a GGA-PBE calculation of a geometry-optimized NdHo2Er structure, from Alexandria.

abc: 3.5630 3.5630 10.0389
angles: 90.00 90.00 90.00
Closest atoms and distances in Å follow each position.
Element x y z (fractional)
1 Nd 0.5000 0.5000 0.5000  4 Nd 3.56, 8 Ho 3.60
2 Ho 0.0000 0.0000 0.7555  4 Er 3.52, 4 Ho 3.56, 4 Nd 3.60
3 Ho 0.0000 0.0000 0.2445  4 Er 3.52, 4 Ho 3.56, 4 Nd 3.60
4 Er 0.5000 0.5000 0.0000  8 Ho 3.52, 4 Er 3.56


Entry 5:
The following is a GGA-PBE calculation of a geometry-optimized Nd5Ho12Er2 structure, from Alexandria.

abc: 9.0327 9.9750 8.6632
angles: 67.46 90.00 116.92
Closest atoms and distances in Å follow each position.
Element x y z (fractional)
1 Nd 0.2362 0.4725 0.7096  5 Ho 3.12-3.46
2 Nd 0.2889 0.5778 0.2234  8 Ho 3.59-3.93, 2 Er 3.75, 1 Nd 3.90
3 Nd 0.0000 0.0000 0.5000  6 Ho 3.18-3.51
4 Nd 0.7111 0.4222 0.7766  8 Ho 3.59-3.93, 2 Er 3.75, 1 Nd 3.90
5 Nd 0.7638 0.5275 0.2904  5 Ho 3.12-3.46
6 Ho 0.9550 0.9101 0.1816  1 Ho 2.85, 2 Nd 3.12-3.18
7 Ho 0.0411 0.7102 0.9038  1 Er 3.29, 4 Ho 3.30-3.57, 2 Nd 3.46-3.61
8 Ho 0.6692 0.7102 0.9038  1 Er 3.29, 4 Ho 3.30-3.57, 2 Nd 3.46-3.61
9 Ho 0.1505 0.7459 0.4548  2 Nd 3.19-3.51, 1 Ho 3.32
10 Ho 0.5954 0.7459 0.4548  2 Nd 3.19-3.51, 1 Ho 3.32
11 Ho 0.4409 0.8818 0.7143  7 Ho 3.30-3.60, 2 Er 3.45, 1 Nd 3.66
12 Ho 0.5591 0.1182 0.2857  7 Ho 3.30-3.60, 2 Er 3.45, 1 Nd 3.66
13 Ho 0.8495 0.2541 0.5452  2 Nd 3.19-3.51, 1 Ho 3.32
14 Ho 0.4046 0.2541 0.5452  2 Nd 3.19-3.51, 1 Ho 3.32
15 Ho 0.9589 0.2898 0.0962  1 Er 3.29, 4 Ho 3.30-3.57, 2 Nd 3.46-3.61
16 Ho 0.3308 0.2898 0.0962  1 Er 3.29, 4 Ho 3.30-3.57, 2 Nd 3.46-3.61
17 Ho 0.0450 0.0899 0.8184  1 Ho 2.85, 2 Nd 3.12-3.18
18 Er 0.6731 0.0000 0.0000  1 Er 3.13, 6 Ho 3.28-3.45
19 Er 0.3269 0.0000 0.0000  1 Er 3.13, 6 Ho 3.28-3.45


Entry 6:
The following is a GGA-PBE calculation of a geometry-optimized NdHo4Er7 structure, from Alexandria.

abc: 5.8153 11.4521 6.6723
angles: 83.09 64.16 75.29
Closest atoms and distances in Å follow each position.
Element x y z (fractional)
1 Nd 0.0000 0.0000 0.0000  4 Er 2.91-3.11
2 Ho 0.6322 0.2256 0.5100  7 Er 3.34-3.56, 2 Ho 3.64
3 Ho 0.3678 0.7744 0.4900  7 Er 3.34-3.56, 2 Ho 3.64
4 Ho 0.7518 0.6827 0.8137  4 Er 3.24-3.54
5 Ho 0.2482 0.3173 0.1863  4 Er 3.24-3.54
6 Er 0.7890 0.9227 0.4994  1 Nd 3.11, 4 Er 3.14-3.37, 4 Ho 3.24-3.36
7 Er 0.2110 0.0773 0.5006  1 Nd 3.11, 4 Er 3.14-3.37, 4 Ho 3.24-3.36
8 Er 0.0596 0.6713 0.2095  4 Er 3.26-3.49, 3 Ho 3.56-3.63
9 Er 0.9404 0.3287 0.7905  4 Er 3.26-3.49, 3 Ho 3.56-3.63
10 Er 0.3651 0.5031 0.7666  4 Er 3.20-3.49, 5 Ho 3.24-3.54
11 Er 0.5000 0.0000 0.0000  2 Nd 2.91, 2 Er 3.14
12 Er 0.6349 0.4969 0.2334  4 Er 3.20-3.49, 5 Ho 3.24-3.54


Entry 7:
The following is a GGA-PBE calculation of a geometry-optimized Nd3Ho3Er2 structure, from Alexandria.

abc: 5.0549 5.0661 10.7369
angles: 103.63 103.62 90.00
Closest atoms and distances in Å follow each position.
Element x y z (fractional)
1 Nd 0.1257 0.1257 0.2515  4 Er 3.56-3.57, 6 Ho 3.58-3.59, 2 Nd 3.59
2 Nd 0.0000 0.5000 0.0000  8 Ho 3.58-3.61, 4 Nd 3.59
3 Nd 0.8743 0.8743 0.7485  4 Er 3.56-3.57, 6 Ho 3.58-3.59, 2 Nd 3.59
4 Ho 0.6270 0.6270 0.2540  4 Er 3.54-3.56, 6 Nd 3.58-3.61, 2 Ho 3.61
5 Ho 0.3730 0.3730 0.7460  4 Er 3.54-3.56, 6 Nd 3.58-3.61, 2 Ho 3.61
6 Ho 0.5000 0.0000 0.0000  8 Nd 3.58-3.59, 4 Ho 3.61
7 Er 0.7506 0.2506 0.5011  4 Ho 3.54-3.56, 4 Nd 3.56-3.57, 4 Er 3.58
8 Er 0.2494 0.7494 0.4989  4 Ho 3.54-3.56, 4 Nd 3.56-3.57, 4 Er 3.58


Entry 8:
The following is a GGA-PBE calculation of a geometry-optimized NdHo3Er6 structure, from Alexandria.

abc: 6.1529 10.8811 10.8811
angles: 119.72 90.00 90.00
Closest atoms and distances in Å follow each position.
Element x y z (fractional)
1 Nd 0.1628 0.2089 0.7911  3 Ho 3.24-3.47, 7 Er 3.24-3.55
2 Nd 0.6628 0.7911 0.2089  3 Ho 3.24-3.47, 7 Er 3.24-3.55
3 Ho 0.4563 0.9332 0.7171  1 Nd 3.24, 6 Er 3.25-3.60, 1 Ho 3.63
4 Ho 0.9563 0.7171 0.9332  1 Nd 3.24, 6 Er 3.25-3.60, 1 Ho 3.63
5 Ho 0.0735 0.3909 0.6091  5 Er 3.28-3.52, 1 Nd 3.47, 2 Ho 3.63
6 Ho 0.5735 0.6091 0.3909  5 Er 3.28-3.52, 1 Nd 3.47, 2 Ho 3.63
7 Ho 0.9563 0.0668 0.2829  1 Nd 3.24, 6 Er 3.25-3.60, 1 Ho 3.63
8 Ho 0.4563 0.2829 0.0668  1 Nd 3.24, 6 Er 3.25-3.60, 1 Ho 3.63
9 Er 0.0265 0.7125 0.6186  4 Ho 3.37-3.52, 6 Er 3.39-3.72
10 Er 0.5265 0.6186 0.7125  4 Ho 3.37-3.52, 6 Er 3.39-3.72
11 Er 0.3636 0.5448 0.9662  2 Nd 3.24-3.41, 2 Ho 3.25-3.57, 5 Er 3.27-3.42
12 Er 0.8636 0.9662 0.5448  2 Nd 3.24-3.41, 2 Ho 3.25-3.57, 5 Er 3.27-3.42
13 Er 0.4160 0.9521 0.0479  1 Nd 3.39, 4 Ho 3.51-3.60, 4 Er 3.57-3.72
14 Er 0.6403 0.2889 0.7111  6 Er 3.27-3.65, 1 Ho 3.28, 2 Nd 3.30-3.55
15 Er 0.1403 0.7111 0.2889  6 Er 3.27-3.65, 1 Ho 3.28, 2 Nd 3.30-3.55
16 Er 0.9160 0.0479 0.9521  1 Nd 3.39, 4 Ho 3.51-3.60, 4 Er 3.57-3.72
17 Er 0.3636 0.0338 0.4552  2 Nd 3.24-3.41, 2 Ho 3.25-3.57, 5 Er 3.27-3.42
18 Er 0.8636 0.4552 0.0338  2 Nd 3.24-3.41, 2 Ho 3.25-3.57, 5 Er 3.27-3.42
19 Er 0.0265 0.3814 0.2875  4 Ho 3.37-3.52, 6 Er 3.39-3.72
20 Er 0.5265 0.2875 0.3814  4 Ho 3.37-3.52, 6 Er 3.39-3.72


Entry 9:
The following is a GGA-PBE calculation of a geometry-optimized Nd11Ho9Er4 structure, from Alexandria.

abc: 3.6516 15.4051 15.4051
angles: 113.16 90.00 90.00
Closest atoms and distances in Å follow each position.
Element x y z (fractional)
1 Nd 0.0000 0.5949 0.9572  2 Er 3.40, 6 Ho 3.55-3.71, 3 Nd 3.65
2 Nd 0.0000 0.4051 0.0428  2 Er 3.40, 6 Ho 3.55-3.71, 3 Nd 3.65
3 Nd 0.0000 0.9572 0.5949  2 Er 3.40, 6 Ho 3.55-3.71, 3 Nd 3.65
4 Nd 0.0000 0.0428 0.4051  2 Er 3.40, 6 Ho 3.55-3.71, 3 Nd 3.65
5 Nd 0.0000 0.6314 0.3686  4 Er 3.32, 4 Ho 3.61, 2 Nd 3.65
6 Nd 0.0000 0.3686 0.6314  4 Er 3.32, 4 Ho 3.61, 2 Nd 3.65
7 Nd 0.0000 0.8396 0.1604  4 Nd 3.65-3.84, 8 Ho 3.74-3.77
8 Nd 0.0000 0.1604 0.8396  4 Nd 3.65-3.84, 8 Ho 3.74-3.77
9 Nd 0.0000 0.0000 0.0000  8 Ho 3.55, 2 Nd 3.65
10 Nd 0.0000 0.7071 0.7071  4 Er 3.30, 2 Nd 3.65, 4 Ho 3.67
11 Nd 0.0000 0.2929 0.2929  4 Er 3.30, 2 Nd 3.65, 4 Ho 3.67
12 Ho 0.5000 0.6302 0.1659  3 Ho 3.46-3.65, 1 Er 3.48, 8 Nd 3.55-3.74
13 Ho 0.5000 0.3698 0.8341  3 Ho 3.46-3.65, 1 Er 3.48, 8 Nd 3.55-3.74
14 Ho 0.5000 0.1659 0.6302  3 Ho 3.46-3.65, 1 Er 3.48, 8 Nd 3.55-3.74
15 Ho 0.5000 0.8341 0.3698  3 Ho 3.46-3.65, 1 Er 3.48, 8 Nd 3.55-3.74
16 Ho 0.5000 0.7860 0.9312  1 Er 3.50, 8 Nd 3.55-3.77, 3 Ho 3.65-3.73
17 Ho 0.5000 0.2140 0.0688  1 Er 3.50, 8 Nd 3.55-3.77, 3 Ho 3.65-3.73
18 Ho 0.5000 0.9312 0.7860  1 Er 3.50, 8 Nd 3.55-3.77, 3 Ho 3.65-3.73
19 Ho 0.5000 0.0688 0.2140  1 Er 3.50, 8 Nd 3.55-3.77, 3 Ho 3.65-3.73
20 Ho 0.5000 0.5000 0.5000  2 Ho 3.65, 4 Er 3.74, 8 Nd 3.84-3.96
21 Er 0.5000 0.5553 0.7591  6 Nd 3.30-3.40, 2 Ho 3.48-3.50, 2 Er 3.65
22 Er 0.5000 0.4447 0.2409  6 Nd 3.30-3.40, 2 Ho 3.48-3.50, 2 Er 3.65
23 Er 0.5000 0.7591 0.5553  6 Nd 3.30-3.40, 2 Ho 3.48-3.50, 2 Er 3.65
24 Er 0.5000 0.2409 0.4447  6 Nd 3.30-3.40, 2 Ho 3.48-3.50, 2 Er 3.65


Entry 10:
The following is a GGA-PBE calculation of a geometry-optimized Nd3Ho7Er structure, from Alexandria.

abc: 8.6647 7.0519 7.0519
angles: 120.00 90.00 90.00
Closest atoms and distances in Å follow each position.
Element x y z (fractional)
1 Nd 0.7831 0.5000 0.5000  4 Nd 3.53, 5 Ho 3.56-3.58, 1 Er 3.57
2 Nd 0.7831 0.5000 0.9999  4 Nd 3.53, 5 Ho 3.56-3.58, 1 Er 3.57
3 Nd 0.7831 0.0001 0.5000  4 Nd 3.53, 5 Ho 3.56-3.58, 1 Er 3.57
4 Ho 0.1215 0.1675 0.8325  1 Er 3.45, 8 Ho 3.47-3.54, 2 Nd 3.57
5 Ho 0.1215 0.1675 0.3350  1 Er 3.45, 8 Ho 3.47-3.54, 2 Nd 3.57
6 Ho 0.1223 0.6667 0.3333  9 Ho 3.45-3.53, 3 Nd 3.58
7 Ho 0.4451 0.8325 0.1675  7 Ho 3.45-3.54, 2 Er 3.53, 2 Nd 3.56
8 Ho 0.4451 0.3349 0.1675  7 Ho 3.45-3.54, 2 Er 3.53, 2 Nd 3.56
9 Ho 0.4451 0.8325 0.6651  7 Ho 3.45-3.54, 2 Er 3.53, 2 Nd 3.56
10 Ho 0.1215 0.6650 0.8325  1 Er 3.45, 8 Ho 3.47-3.54, 2 Nd 3.57
11 Er 0.4439 0.3333 0.6667  9 Ho 3.45-3.53, 3 Nd 3.57


Entry 11:
The following is a GGA-PBE calculation of a geometry-optimized NdHo7Er4 structure, from Alexandria.

abc: 5.8284 11.4624 6.6714
angles: 83.07 64.10 75.27
Closest atoms and distances in Å follow each position.
Element x y z (fractional)
1 Nd 0.0000 0.0000 0.0000  4 Ho 2.91-3.11
2 Ho 0.7890 0.9223 0.4996  1 Nd 3.11, 4 Ho 3.13-3.38, 4 Er 3.24-3.37
3 Ho 0.2110 0.0777 0.5004  1 Nd 3.11, 4 Ho 3.13-3.38, 4 Er 3.24-3.37
4 Ho 0.0584 0.6697 0.2135  4 Ho 3.27-3.50, 3 Er 3.55-3.63
5 Ho 0.9416 0.3303 0.7865  4 Ho 3.27-3.50, 3 Er 3.55-3.63
6 Ho 0.3652 0.5041 0.7655  4 Ho 3.19-3.50, 5 Er 3.24-3.55
7 Ho 0.5000 0.0000 0.0000  2 Nd 2.91, 2 Ho 3.13
8 Ho 0.6348 0.4959 0.2345  4 Ho 3.19-3.50, 5 Er 3.24-3.55
9 Er 0.6317 0.2258 0.5108  7 Ho 3.35-3.55, 2 Er 3.65
10 Er 0.3683 0.7742 0.4892  7 Ho 3.35-3.55, 2 Er 3.65
11 Er 0.7486 0.6845 0.8183  4 Ho 3.24-3.55
12 Er 0.2514 0.3155 0.1817  4 Ho 3.24-3.55


Entry 12:
The following is a GGA-PBE calculation of a geometry-optimized NdHo6Er8 structure, from Alexandria.

abc: 6.4235 9.3675 9.3675
angles: 120.00 90.00 90.00
Closest atoms and distances in Å follow each position.
Element x y z (fractional)
1 Nd 0.5000 0.0000 0.0000  6 Ho 3.59
2 Ho 0.5889 0.6814 0.0995  1 Ho 3.16, 3 Er 3.20-3.41
3 Ho 0.5889 0.9005 0.5819  1 Ho 3.16, 3 Er 3.20-3.41
4 Ho 0.5889 0.4181 0.3186  1 Ho 3.16, 3 Er 3.20-3.41
5 Ho 0.4111 0.3186 0.9005  1 Ho 3.16, 3 Er 3.20-3.41
6 Ho 0.4111 0.0995 0.4181  1 Ho 3.16, 3 Er 3.20-3.41
7 Ho 0.4111 0.5819 0.6814  1 Ho 3.16, 3 Er 3.20-3.41
8 Er 0.9071 0.9756 0.3137  4 Ho 3.20-3.57, 5 Er 3.28-3.50
9 Er 0.9071 0.6863 0.6619  4 Ho 3.20-3.57, 5 Er 3.28-3.50
10 Er 0.9071 0.3381 0.0244  4 Ho 3.20-3.57, 5 Er 3.28-3.50
11 Er 0.0929 0.0244 0.6863  4 Ho 3.20-3.57, 5 Er 3.28-3.50
12 Er 0.0929 0.3137 0.3381  4 Ho 3.20-3.57, 5 Er 3.28-3.50
13 Er 0.0929 0.6619 0.9756  4 Ho 3.20-3.57, 5 Er 3.28-3.50
14 Er 0.8382 0.3333 0.6667  6 Er 3.36-3.41, 3 Ho 3.56
15 Er 0.1618 0.6667 0.3333  6 Er 3.36-3.41, 3 Ho 3.56


| no. | uncorrected energy (eV per cell) |
| --- | --- |
| 1 | -83.778 |
| 2 | -86.743 |
| 3 | -37.195 |
| 4 | -18.387 |
| 5 | -83.837 |
| 6 | -51.625 |
| 7 | -36.979 |
| 8 | -88.771 |
| 9 | -110.589 |
| 10 | -48.987 |
| 11 | -51.673 |
| 12 | -65.268 |